1.
Entry from Alexandria: a relaxed structure of LiGdDyHo (PBE).

Output
As for the formation energy: 0.19 eV/atom. The space group is F-43m, No. 216. The total DFT energy (no corrections) comes out at -24.41 eV for the cell shown.

```
LiGdDyHo
1.0
0.000 3.870 3.870
3.870 0.000 3.870
3.870 3.870 0.000
Li Gd Dy Ho
1 1 1 1
direct
0.000 0.000 0.000
0.500 0.500 0.500
0.750 0.750 0.750
0.250 0.250 0.250
```

***

2.
Entry from Alexandria: a relaxed structure of TaMn2Br (PBE).

Output
The energy relative to the elements, uncorrected comes out at 0.7773 eV per atom. The space group is F-43m, No. 216. The total DFT energy (no corrections) comes out at -28.76 eV for the cell shown.

```
TaMn2Br
1.0
0.000 3.190 3.190
3.190 0.000 3.190
3.190 3.190 0.000
Ta Mn Br
1 2 1
direct
0.000 0.000 0.000
0.500 0.500 0.500
0.750 0.750 0.750
0.250 0.250 0.250
```

***

3.
Entry from Alexandria: a relaxed structure of La2Sm3ThSe6 (PBE).

Output
The energy relative to the elements, uncorrected comes out at -1.8258 eV per atom. The space group is C2/m, No. 12. The total DFT energy (no corrections) comes out at -74.25 eV for the cell shown.

```
La2Sm3ThSe6
1.0
9.219 -2.107 0.000
9.219 2.107 0.000
-2.022 0.000 8.227
La Sm Th Se
2 3 1 6
direct
0.164 0.164 0.330
0.836 0.836 0.670
0.167 0.167 0.835
0.500 0.500 0.500
0.833 0.833 0.165
0.500 0.500 0.000
0.004 0.004 0.748
0.332 0.332 0.923
0.334 0.334 0.411
0.666 0.666 0.589
0.668 0.668 0.077
0.996 0.996 0.252
```